# 1
# Pr2SmTmSe4 PBE relaxed
data_Pr2SmTmSe4
_cell_length_a 7.1901
_cell_length_b 4.1059
_cell_length_c 7.3937
_cell_angle_alpha 90.00
_cell_angle_beta 108.55
_cell_angle_gamma 90.00
_symmetry_space_group_name_H-M 'P 1 2/m 1'
_symmetry_Int_Tables_number 10
loop_
_symmetry_equiv_pos_as_xyz
'x,y,z'
'-x,-y,-z'
'-x,y,-z'
'x,-y,z'
loop_
_atom_site_label
_atom_site_type_symbol
_atom_site_fract_x
_atom_site_fract_y
_atom_site_fract_z
_atom_site_occupancy
Pr1 Pr 0.0000 0.0000 0.0000 1
Pr2 Pr 0.5000 0.5000 0.0000 1
Sm1 Sm 0.0000 0.5000 0.5000 1
Tm1 Tm 0.5000 0.0000 0.5000 1
Se1 Se 0.2525 0.0000 0.7361 1
Se2 Se 0.2636 0.5000 0.2688 1
# Formation energy (no corrections) in eV per atom: -1.7936
# VASP energy in eV/atom: -5.880

# 2
# LiPbAu4 PBE relaxed
data_LiPbAu4
_cell_length_a 3.9117
_cell_length_b 3.9117
_cell_length_c 8.6220
_cell_angle_alpha 90.00
_cell_angle_beta 90.00
_cell_angle_gamma 90.00
_symmetry_space_group_name_H-M 'P 4/m m m'
_symmetry_Int_Tables_number 123
_symmetry_space_group_name_Hall '-P 4 2'
loop_
_atom_site_label
_atom_site_type_symbol
_atom_site_fract_x
_atom_site_fract_y
_atom_site_fract_z
_atom_site_occupancy
Li1 Li 0.0000 0.0000 0.0000 1
Pb1 Pb 0.5000 0.5000 0.5000 1
Au1 Au 0.0000 0.5000 0.2187 1
# VASP energy in eV/atom: -3.236
# Energy above the most stable polymorph in this dataset in kJ/mol of atoms: 5.4

# 3
# Cs4Ac3VS8 PBE relaxed
data_Cs4Ac3VS8
_cell_length_a 8.6117
_cell_length_b 8.6117
_cell_length_c 24.2973
_cell_angle_alpha 90.00
_cell_angle_beta 90.00
_cell_angle_gamma 120.00
_symmetry_space_group_name_H-M 'R -3 m'
_symmetry_Int_Tables_number 166
_symmetry_space_group_name_Hall '-R 3 2"'
loop_
_atom_site_label
_atom_site_type_symbol
_atom_site_fract_x
_atom_site_fract_y
_atom_site_fract_z
_atom_site_occupancy
Cs1 Cs 0.0000 0.0000 0.0000 1
Cs2 Cs 0.0000 0.5000 0.0000 1
Ac1 Ac 0.0000 0.5000 0.5000 1
V1 V 0.0000 0.0000 0.5000 1
S1 S 0.0000 0.0000 0.2330 1
S2 S 0.0367 0.5184 0.2264 1
# Formation energy (no corrections) in eV per atom: -1.5423
# VASP energy in eV/atom: -5.160

# 4
# SrNi2Hg PBE relaxed
data_SrNi2Hg
_cell_length_a 4.6606
_cell_length_b 4.6606
_cell_length_c 17.8514
_cell_angle_alpha 90.00
_cell_angle_beta 90.00
_cell_angle_gamma 90.00
_symmetry_space_group_name_H-M 'I -4 2 d'
_symmetry_Int_Tables_number 122
_symmetry_space_group_name_Hall 'I -4 2bw'
loop_
_atom_site_label
_atom_site_type_symbol
_atom_site_fract_x
_atom_site_fract_y
_atom_site_fract_z
_atom_site_occupancy
Sr1 Sr 0.0000 0.0000 0.0000 1
Ni1 Ni 0.0444 0.2500 0.6250 1
Hg1 Hg 0.0000 0.0000 0.5000 1
# VASP energy in eV/atom: -3.278

# 5
# TaCr2Br PBE relaxed
data_TaCr2Br
_cell_length_a 9.5413
_cell_length_b 3.0790
_cell_length_c 4.4869
_cell_angle_alpha 90.00
_cell_angle_beta 96.57
_cell_angle_gamma 90.00
_symmetry_space_group_name_H-M 'C 1 m 1'
_symmetry_Int_Tables_number 8
loop_
_symmetry_equiv_pos_as_xyz
'x,y,z'
'x,-y,z'
'x+1/2,y+1/2,z'
'x+1/2,-y+1/2,z'
loop_
_atom_site_label
_atom_site_type_symbol
_atom_site_fract_x
_atom_site_fract_y
_atom_site_fract_z
_atom_site_occupancy
Ta1 Ta 0.0000 0.0000 0.0000 1
Cr1 Cr 0.0138 0.5000 0.5618 1
Cr2 Cr 0.2597 0.0000 0.7609 1
Br1 Br 0.2351 0.5000 0.2747 1
# Formation energy (no corrections) in eV per atom: 0.7037
# VASP energy in eV/atom: -7.489
# Energy above the most stable polymorph in this dataset in kJ/mol of atoms: 38.1

# 6
# TcAsH2 PBE relaxed
data_TcAsH2
_cell_length_a 5.3353
_cell_length_b 5.3353
_cell_length_c 5.3353
_cell_angle_alpha 90.00
_cell_angle_beta 90.00
_cell_angle_gamma 90.00
_symmetry_space_group_name_H-M 'F m -3 m'
_symmetry_Int_Tables_number 225
_symmetry_space_group_name_Hall '-F 4 2 3'
loop_
_atom_site_label
_atom_site_type_symbol
_atom_site_fract_x
_atom_site_fract_y
_atom_site_fract_z
_atom_site_occupancy
Tc1 Tc 0.0000 0.0000 0.0000 1
As1 As 0.0000 0.0000 0.5000 1
H1 H 0.2500 0.2500 0.2500 1
# VASP energy in eV/atom: -4.498
# Energy above the most stable polymorph in this dataset in kJ/mol of atoms: 83.5

# 7
# Ca2CrTe PBE relaxed
data_Ca2CrTe
_cell_length_a 3.9641
_cell_length_b 3.9886
_cell_length_c 7.1828
_cell_angle_alpha 90.00
_cell_angle_beta 90.00
_cell_angle_gamma 90.00
_symmetry_space_group_name_H-M 'P m m m'
_symmetry_Int_Tables_number 47
loop_
_symmetry_equiv_pos_as_xyz
'x,y,z'
'-x,-y,-z'
'-x,-y,z'
'x,y,-z'
'x,-y,-z'
'-x,y,z'
'-x,y,-z'
'x,-y,z'
loop_
_atom_site_label
_atom_site_type_symbol
_atom_site_fract_x
_atom_site_fract_y
_atom_site_fract_z
_atom_site_occupancy
Ca1 Ca 0.0000 0.0000 0.2492 1
Cr1 Cr 0.5000 0.5000 0.5000 1
Te1 Te 0.5000 0.5000 0.0000 1
# Formation energy (no corrections) in eV per atom: -0.3206
# VASP energy in eV/atom: -4.513

# 8
# DyErN PBE relaxed
data_DyErN
_cell_length_a 5.9680
_cell_length_b 5.9680
_cell_length_c 5.9680
_cell_angle_alpha 90.00
_cell_angle_beta 90.00
_cell_angle_gamma 90.00
_symmetry_space_group_name_H-M 'F -4 3 m'
_symmetry_Int_Tables_number 216
_symmetry_space_group_name_Hall 'F -4 2 3'
loop_
_atom_site_label
_atom_site_type_symbol
_atom_site_fract_x
_atom_site_fract_y
_atom_site_fract_z
_atom_site_occupancy
Dy1 Dy 0.0000 0.0000 0.0000 1
Er1 Er 0.0000 0.0000 0.5000 1
N1 N 0.2500 0.2500 0.2500 1
# Formation energy (no corrections) in eV per atom: -0.3118
# VASP energy in eV/atom: -6.142
# Energy above the most stable polymorph in this dataset in kJ/mol of atoms: 72.0

# 9
# LaY2MgNi PBE relaxed
data_LaY2MgNi
_cell_length_a 5.4155
_cell_length_b 5.4155
_cell_length_c 5.2276
_cell_angle_alpha 90.00
_cell_angle_beta 90.00
_cell_angle_gamma 90.00
_symmetry_space_group_name_H-M 'P 4/m m m'
_symmetry_Int_Tables_number 123
_symmetry_space_group_name_Hall '-P 4 2'
loop_
_atom_site_label
_atom_site_type_symbol
_atom_site_fract_x
_atom_site_fract_y
_atom_site_fract_z
_atom_site_occupancy
La1 La 0.0000 0.0000 0.0000 1
Y1 Y 0.0000 0.5000 0.5000 1
Mg1 Mg 0.5000 0.5000 0.0000 1
Ni1 Ni 0.0000 0.0000 0.5000 1
# VASP energy in eV/atom: -5.109
# Energy above the most stable polymorph in this dataset in kJ/mol of atoms: 0.3

# 10
# Hf2ScTiTc PBE relaxed
data_Hf2ScTiTc
_cell_length_a 4.8659
_cell_length_b 4.8659
_cell_length_c 4.5555
_cell_angle_alpha 90.00
_cell_angle_beta 90.00
_cell_angle_gamma 90.00
_symmetry_space_group_name_H-M 'P 4/m m m'
_symmetry_Int_Tables_number 123
_symmetry_space_group_name_Hall '-P 4 2'
loop_
_atom_site_label
_atom_site_type_symbol
_atom_site_fract_x
_atom_site_fract_y
_atom_site_fract_z
_atom_site_occupancy
Hf1 Hf 0.0000 0.5000 0.0000 1
Sc1 Sc 0.0000 0.0000 0.5000 1
Ti1 Ti 0.0000 0.0000 0.0000 1
Tc1 Tc 0.5000 0.5000 0.5000 1
# VASP energy in eV/atom: -7.736

# 11
# Pu12FeRu6 PBE relaxed
data_Pu12FeRu6
_cell_length_a 11.9416
_cell_length_b 11.9416
_cell_length_c 11.3300
_cell_angle_alpha 90.00
_cell_angle_beta 90.00
_cell_angle_gamma 120.00
_symmetry_space_group_name_H-M 'R -3'
_symmetry_Int_Tables_number 148
_symmetry_space_group_name_Hall '-R 3'
loop_
_atom_site_label
_atom_site_type_symbol
_atom_site_fract_x
_atom_site_fract_y
_atom_site_fract_z
_atom_site_occupancy
Pu1 Pu 0.0236 0.2025 0.3878 1
Pu2 Pu 0.0386 0.1973 0.8774 1
Fe1 Fe 0.0000 0.0000 0.0000 1
Ru1 Ru 0.0412 0.2631 0.6508 1
# VASP energy in eV/atom: -12.339

# 12
# IrAu2Cl PBE relaxed
data_IrAu2Cl
_cell_length_a 2.8635
_cell_length_b 5.2003
_cell_length_c 9.8433
_cell_angle_alpha 90.00
_cell_angle_beta 90.00
_cell_angle_gamma 90.00
_symmetry_space_group_name_H-M 'C m m 2'
_symmetry_Int_Tables_number 35
loop_
_symmetry_equiv_pos_as_xyz
'x,y,z'
'-x,-y,z'
'-x,y,z'
'x,-y,z'
'x+1/2,y+1/2,z'
'-x+1/2,-y+1/2,z'
'-x+1/2,y+1/2,z'
'x+1/2,-y+1/2,z'
loop_
_atom_site_label
_atom_site_type_symbol
_atom_site_fract_x
_atom_site_fract_y
_atom_site_fract_z
_atom_site_occupancy
Ir1 Ir 0.0000 0.0000 0.0000 1
Au1 Au 0.0000 0.0000 0.4926 1
Au2 Au 0.0000 0.5000 0.2376 1
Cl1 Cl 0.0000 0.5000 0.8054 1
# Formation energy (no corrections) in eV per atom: 0.3781
# VASP energy in eV/atom: -3.938
# Energy above the most stable polymorph in this dataset in kJ/mol of atoms: 2.9

# 13
# Ca3CoHg PBE relaxed
data_Ca3CoHg
_cell_length_a 5.3074
_cell_length_b 5.3074
_cell_length_c 5.3074
_cell_angle_alpha 90.00
_cell_angle_beta 90.00
_cell_angle_gamma 90.00
_symmetry_space_group_name_H-M 'P m -3 m'
_symmetry_Int_Tables_number 221
_symmetry_space_group_name_Hall '-P 4 2 3'
loop_
_atom_site_label
_atom_site_type_symbol
_atom_site_fract_x
_atom_site_fract_y
_atom_site_fract_z
_atom_site_occupancy
Ca1 Ca 0.0000 0.0000 0.5000 1
Co1 Co 0.0000 0.0000 0.0000 1
Hg1 Hg 0.5000 0.5000 0.5000 1
# VASP energy in eV/atom: -2.649
# Energy above the most stable polymorph in this dataset in kJ/mol of atoms: 0.0

Taking the records one at a time from the top gives total moment values of 0.000; 0.000; 6.000; 0.000; 2.509; 0.000; 4.862; 0.000; 0.011; 1.110; 181.734; 0.000; 0.000 μB per cell.